Sb2PbCl | PBE | relaxed

Lattice parameters (Å, degrees): 3.9250 3.9250 7.4545 90.00 90.00 90.00
Closest atoms and distances in Å follow each position.
Space group P4/mmm (No. 123)
Symmetry-distinct sites (fractional):
Sb1 0.0000 0.0000 0.2155  4 Pb 3.21, 1 Sb 3.21, 4 Cl 3.49
Pb1 0.5000 0.5000 0.0000  8 Sb 3.21
Cl1 0.5000 0.5000 0.5000  8 Sb 3.49, 2 Pb 3.73

Raw total energy, eV/cell: -13.7
Offset from the most stable computed form, eV per atom: 0.269
Uncorrected formation energy, eV/atom: 0.0252
Crystal system: tetragonal

=====

LiNdPb | PBE | relaxed

Lattice parameters (Å, degrees): 6.8111 6.8111 6.8111 90.00 90.00 90.00
Closest atoms and distances in Å follow each position.
Space group F-43m (No. 216)
Symmetry-distinct sites (fractional):
Li1 0.0000 0.0000 0.0000  4 Pb 2.95, 4 Nd 2.95
Nd1 0.2500 0.2500 0.2500  4 Li 2.95
Pb1 0.2500 0.2500 0.7500  4 Li 2.95

Raw total energy, eV/cell: -46.0
DFT formation energy, meV per atom: -369.8
Crystal system: cubic

=====

Tb6TlHg5 | PBE | relaxed

Lattice parameters (Å, degrees): 5.2855 7.5452 15.8764 90.00 90.00 90.00
Closest atoms and distances in Å follow each position.
Space group Immm (No. 71)
Symmetry-distinct sites (fractional):
Tb1 0.0000 0.2453 0.0000  6 Hg 3.23-3.26, 2 Tl 3.27
Tb2 0.0000 0.2525 0.3317  7 Hg 3.23-3.26, 1 Tl 3.28
Tl1 0.0000 0.0000 0.5000  8 Tb 3.27-3.28
Hg1 0.0000 0.0000 0.1672  8 Tb 3.23-3.24
Hg2 0.0000 0.5000 0.1657  8 Tb 3.23-3.26
Hg3 0.0000 0.5000 0.5000  8 Tb 3.23-3.26

Raw total energy, eV/cell: -74.3
Offset from the most stable computed form, eV per atom: 0.000
DFT formation energy, meV per atom: -458.5
Crystal system: orthorhombic

=====

YCo2As | PBE | relaxed

Lattice parameters (Å, degrees): 6.4008 6.4008 6.4008 90.00 90.00 90.00
Closest atoms and distances in Å follow each position.
Space group F-43m (No. 216)
Symmetry-distinct sites (fractional):
Y1 0.0000 0.0000 0.0000  4 Co 2.77, 4 As 2.77
Co1 0.0000 0.0000 0.5000  4 As 2.77, 4 Co 2.77
Co2 0.2500 0.2500 0.2500  4 Co 2.77, 4 Y 2.77
As1 0.2500 0.2500 0.7500  4 Y 2.77, 4 Co 2.77

Raw total energy, eV/cell: -101.1
DFT formation energy, meV per atom: 13.9
Crystal system: cubic

=====

Copy entry 2 word for word.
LiNdPb | PBE | relaxed

Lattice parameters (Å, degrees): 6.8111 6.8111 6.8111 90.00 90.00 90.00
Closest atoms and distances in Å follow each position.
Space group F-43m (No. 216)
Symmetry-distinct sites (fractional):
Li1 0.0000 0.0000 0.0000  4 Pb 2.95, 4 Nd 2.95
Nd1 0.2500 0.2500 0.2500  4 Li 2.95
Pb1 0.2500 0.2500 0.7500  4 Li 2.95

Raw total energy, eV/cell: -46.0
DFT formation energy, meV per atom: -369.8
Crystal system: cubic

=====

Q: Which value of raw total energy does entry 4 give?
A: -101.1 eV/cell

=====

Q: Which value of raw total energy does entry 2 give?
A: -46.0 eV/cell